Entry 1:
# CsSr2CdPd

A relaxed structure of CsSr2CdPd (PBE, Alexandria).

The structure belongs to space group P4/mmm (No. 123); the cell edges are 5.9428, 5.9428 and 6.6761 Å and the angles 90.00°, 90.00° and 90.00°. The distinct sites, in fractional coordinates, are Cs at (0.0000, 0.0000, 0.0000), Sr at (0.0000, 0.5000, 0.5000), Cd at (0.5000, 0.5000, 0.0000) and Pd at (0.0000, 0.0000, 0.5000).

For the formation energy, the calculation gives -75 meV per atom. The magnetic moment comes out at 0.0 μB/f.u. The density of states at the Fermi level is 0.69 states/eV/atom.

Entry 2:
# PrYTmZr

A relaxed structure of PrYTmZr (PBE, Alexandria).

The structure belongs to space group F-43m (No. 216); the cell edges are 7.8186, 7.8186 and 7.8186 Å and the angles 90.00°, 90.00° and 90.00°. The distinct sites, in fractional coordinates, are Pr at (0.0000, 0.0000, 0.0000), Y at (0.2500, 0.2500, 0.7500), Tm at (0.2500, 0.2500, 0.2500) and Zr at (0.0000, 0.0000, 0.5000).

For the formation energy, the calculation gives 219 meV per atom. The magnetic moment comes out at 1.2 μB/f.u. The density of states at the Fermi level is 1.78 states/eV/atom.

Entry 3:
# Ca2FeTe

A relaxed structure of Ca2FeTe (PBE, Alexandria).

The structure belongs to space group P4mm (No. 99); the cell edges are 4.3166, 4.3166 and 6.3515 Å and the angles 90.00°, 90.00° and 90.00°. The distinct sites, in fractional coordinates, are Ca at (0.0000, 0.0000, 0.0000), Ca at (0.5000, 0.5000, 0.3881), Fe at (0.0000, 0.0000, 0.4816) and Te at (0.5000, 0.5000, 0.8799).

The calculation puts the polymorph energy (0 for the lowest one) at 19.1 kJ/mol of atoms. The magnetic moment comes out at 2.1 μB/f.u. The calculation puts the energy relative to the elements, uncorrected at -0.66 eV/f.u. The density of states at the Fermi level is 1.10 states/eV/atom.

Entry 4:
# EuTlCdAg

A relaxed structure of EuTlCdAg (PBE, Alexandria).

The structure belongs to space group F-43m (No. 216); the cell edges are 7.3756, 7.3756 and 7.3756 Å and the angles 90.00°, 90.00° and 90.00°. The distinct sites, in fractional coordinates, are Eu at (0.0000, 0.0000, 0.0000), Tl at (0.2500, 0.2500, 0.7500), Cd at (0.0000, 0.0000, 0.5000) and Ag at (0.2500, 0.2500, 0.2500).

For the formation energy, the calculation gives -233 meV per atom. The magnetic moment comes out at 7.1 μB/f.u. The density of states at the Fermi level is 2.89 states/eV/atom.

Entry 5:
# MnCrGaRh

A relaxed structure of MnCrGaRh (PBE, Alexandria).

The structure belongs to space group F-43m (No. 216); the cell edges are 6.0249, 6.0249 and 6.0249 Å and the angles 90.00°, 90.00° and 90.00°. The distinct sites, in fractional coordinates, are Mn at (0.0000, 0.0000, 0.0000), Cr at (0.2500, 0.2500, 0.7500), Ga at (0.0000, 0.0000, 0.5000) and Rh at (0.2500, 0.2500, 0.2500).

For the formation energy, the calculation gives -286 meV per atom. The magnetic moment comes out at 1.1 μB/f.u. The density of states at the Fermi level is 0.50 states/eV/atom.

Entry 6:
# Rb2MnInBr6

A relaxed structure of Rb2MnInBr6 (PBE, Alexandria).

The structure belongs to space group P4/mmm (No. 123); the cell edges are 5.5799, 5.5799 and 11.1282 Å and the angles 90.00°, 90.00° and 90.00°. The distinct sites, in fractional coordinates, are Rb at (0.0000, 0.0000, 0.2295), Mn at (0.5000, 0.5000, 0.0000), In at (0.5000, 0.5000, 0.5000), Br at (0.0000, 0.5000, 0.0000), Br at (0.0000, 0.5000, 0.5000) and Br at (0.5000, 0.5000, 0.2329).

The magnetic moment comes out at 4.8 μB/f.u. The calculation puts the energy relative to the elements, uncorrected at -11.48 eV/f.u. The density of states at the Fermi level is 0.13 states/eV/atom.

Entry 7:
# PrTmCd2

A relaxed structure of PrTmCd2 (PBE, Alexandria).

The structure belongs to space group P4/mmm (No. 123); the cell edges are 3.7254, 3.7254 and 7.8453 Å and the angles 90.00°, 90.00° and 90.00°. The distinct sites, in fractional coordinates, are Pr at (0.0000, 0.0000, 0.0000), Tm at (0.0000, 0.0000, 0.5000) and Cd at (0.5000, 0.5000, 0.2729).

The calculation puts the polymorph energy (0 for the lowest one) at 0.0 kJ/mol of atoms. For the formation energy, the calculation gives -311 meV per atom. The magnetic moment comes out at 0.5 μB/f.u. The density of states at the Fermi level is 0.92 states/eV/atom.

Entry 8:
# Cr7Rh

A relaxed structure of Cr7Rh (PBE, Alexandria).

The structure belongs to space group Fm-3m (No. 225); the cell edges are 7.3034, 7.3034 and 7.3034 Å and the angles 90.00°, 90.00° and 90.00°. The distinct sites, in fractional coordinates, are Cr at (0.0000, 0.0000, 0.0000), Cr at (0.0000, 0.2500, 0.2500) and Rh at (0.0000, 0.0000, 0.5000).

For the formation energy, the calculation gives 273 meV per atom. The magnetic moment comes out at 0.0 μB/f.u. The density of states at the Fermi level is 2.02 states/eV/atom.

Entry 9:
# SrDy2Os

A relaxed structure of SrDy2Os (PBE, Alexandria).

The structure belongs to space group P4/mmm (No. 123); the cell edges are 3.4629, 3.4629 and 10.0176 Å and the angles 90.00°, 90.00° and 90.00°. The distinct sites, in fractional coordinates, are Sr at (0.0000, 0.0000, 0.0000), Dy at (0.5000, 0.5000, 0.3374) and Os at (0.0000, 0.0000, 0.5000).

The calculation puts the polymorph energy (0 for the lowest one) at 0.0 kJ/mol of atoms. For the formation energy, the calculation gives -91 meV per atom. The magnetic moment comes out at 0.0 μB/f.u. The density of states at the Fermi level is 0.58 states/eV/atom.

Entry 10:
# Y4SnTe2P

A relaxed structure of Y4SnTe2P (PBE, Alexandria).

The structure belongs to space group P2/m (No. 10); the cell edges are 7.4266, 4.2632 and 7.5148 Å and the angles 90.00°, 109.01° and 90.00°. The distinct sites, in fractional coordinates, are Y at (0.2283, 0.0000, 0.2187), Y at (0.2448, 0.5000, 0.7713), Sn at (0.5000, 0.0000, 0.0000), Te at (0.0000, 0.0000, 0.5000), Te at (0.5000, 0.5000, 0.5000) and P at (0.0000, 0.5000, 0.0000).

The magnetic moment comes out at 0.0 μB/f.u. The calculation puts the energy relative to the elements, uncorrected at -10.41 eV/f.u. The density of states at the Fermi level is 0.23 states/eV/atom.

Entry 11:
# Te2As3

A relaxed structure of Te2As3 (PBE, Alexandria).

The structure belongs to space group P-3m1 (No. 164); the cell edges are 5.1035, 5.1035 and 5.9836 Å and the angles 90.00°, 90.00° and 120.00°. The distinct sites, in fractional coordinates, are Te at (0.3333, 0.6667, 0.2626), As at (0.0000, 0.0000, 0.5000) and As at (0.3333, 0.6667, 0.7275).

The calculation puts the polymorph energy (0 for the lowest one) at 21.8 kJ/mol of atoms. The magnetic moment comes out at 0.0 μB/f.u. The calculation puts the energy relative to the elements, uncorrected at 1.95 eV/f.u. The density of states at the Fermi level is 0.61 states/eV/atom.

Entry 12:
# KTaOs3

A relaxed structure of KTaOs3 (PBE, Alexandria).

The structure belongs to space group Pm-3m (No. 221); the cell edges are 4.4871, 4.4871 and 4.4871 Å and the angles 90.00°, 90.00° and 90.00°. The distinct sites, in fractional coordinates, are K at (0.0000, 0.0000, 0.0000), Ta at (0.5000, 0.5000, 0.5000) and Os at (0.0000, 0.0000, 0.5000).

The calculation puts the polymorph energy (0 for the lowest one) at 138.7 kJ/mol of atoms. For the formation energy, the calculation gives 3446 meV per atom. The magnetic moment comes out at 0.0 μB/f.u. The density of states at the Fermi level is 0.95 states/eV/atom.

Entry 13:
# HfTh

A relaxed structure of HfTh (PBE, Alexandria).

The structure belongs to space group Pm-3m (No. 221); the cell edges are 3.7783, 3.7783 and 3.7783 Å and the angles 90.00°, 90.00° and 90.00°. The distinct sites, in fractional coordinates, are Hf at (0.0000, 0.0000, 0.0000) and Th at (0.5000, 0.5000, 0.5000).

The calculation puts the polymorph energy (0 for the lowest one) at 0.0 kJ/mol of atoms. For the formation energy, the calculation gives 212 meV per atom. The magnetic moment comes out at 0.0 μB/f.u. The density of states at the Fermi level is 1.49 states/eV/atom.